Record 1
# CaScMnH2 | the Alexandria database | meta-GGA SCAN | PBEsol geometry
data_CaScMnH2
_cell_length_a 4.0807
_cell_length_b 4.0807
_cell_length_c 4.8392
_cell_angle_alpha 90.00
_cell_angle_beta 90.00
_cell_angle_gamma 90.00
_space_group_name_H-M_alt 'P 4/m m m'
_space_group_IT_number 123
_space_group_name_Hall '-P 4 2'
loop_
_atom_site_label
_atom_site_type_symbol
_atom_site_fract_x
_atom_site_fract_y
_atom_site_fract_z
Ca1 Ca 0.0000 0.0000 0.0000
Sc1 Sc 0.5000 0.5000 0.5000
Mn1 Mn 0.5000 0.5000 0.0000
H1 H 0.0000 0.5000 0.5000
# - E_tot: -9.587 eV per atom

---

Record 2
# NaMnPS2 | the Alexandria database | meta-GGA SCAN | PBEsol geometry
data_NaMnPS2
_cell_length_a 4.7730
_cell_length_b 4.7730
_cell_length_c 4.6654
_cell_angle_alpha 90.00
_cell_angle_beta 90.00
_cell_angle_gamma 90.00
_space_group_name_H-M_alt 'P 4/m m m'
_space_group_IT_number 123
_space_group_name_Hall '-P 4 2'
loop_
_atom_site_label
_atom_site_type_symbol
_atom_site_fract_x
_atom_site_fract_y
_atom_site_fract_z
Na1 Na 0.0000 0.0000 0.0000
Mn1 Mn 0.5000 0.5000 0.5000
P1 P 0.0000 0.0000 0.5000
S1 S 0.0000 0.5000 0.0000
# - Energy relative to the elements, uncorrected: 926.8 meV per atom

---

Record 3
# BeCl3 | the Alexandria database | meta-GGA SCAN | PBEsol geometry
data_BeCl3
_cell_length_a 7.6042
_cell_length_b 7.6042
_cell_length_c 4.6731
_cell_angle_alpha 90.00
_cell_angle_beta 90.00
_cell_angle_gamma 120.00
_space_group_name_H-M_alt 'R -3 m'
_space_group_IT_number 166
_space_group_name_Hall '-R 3 2"'
loop_
_atom_site_label
_atom_site_type_symbol
_atom_site_fract_x
_atom_site_fract_y
_atom_site_fract_z
Be1 Be 0.0000 0.0000 0.0000
Cl1 Cl 0.0000 0.5000 0.0000
# - Energy relative to the lowest polymorph listed for this composition: 1087 meV per atom
# - Energy relative to the elements, uncorrected: 374.8 meV per atom

---

Record 4
# LiCa2Mg | the Alexandria database | meta-GGA SCAN | PBEsol geometry
data_LiCa2Mg
_cell_length_a 3.9318
_cell_length_b 3.9318
_cell_length_c 7.8554
_cell_angle_alpha 90.00
_cell_angle_beta 90.00
_cell_angle_gamma 90.00
_space_group_name_H-M_alt 'P 4/m m m'
_space_group_IT_number 123
_space_group_name_Hall '-P 4 2'
loop_
_atom_site_label
_atom_site_type_symbol
_atom_site_fract_x
_atom_site_fract_y
_atom_site_fract_z
Li1 Li 0.0000 0.0000 0.0000
Ca1 Ca 0.5000 0.5000 0.2523
Mg1 Mg 0.0000 0.0000 0.5000
# - Formation energy: -35 meV/atom

---

Record 5
# Nd2US5 | the Alexandria database | meta-GGA SCAN | PBEsol geometry
data_Nd2US5
_cell_length_a 11.6979
_cell_length_b 7.9564
_cell_length_c 7.3769
_cell_angle_alpha 90.00
_cell_angle_beta 90.00
_cell_angle_gamma 90.00
_space_group_name_H-M_alt 'P n m a'
_space_group_IT_number 62
_space_group_name_Hall '-P 2ac 2n'
loop_
_atom_site_label
_atom_site_type_symbol
_atom_site_fract_x
_atom_site_fract_y
_atom_site_fract_z
Nd1 Nd 0.1768 0.0005 0.0289
U1 U 0.0092 0.2500 0.5717
S1 S 0.0005 0.2500 0.9542
S2 S 0.0926 0.5439 0.6649
S3 S 0.1871 0.2500 0.3330
S4 S 0.2149 0.7500 0.3066
# - Energy relative to the elements, uncorrected: -2088.8 meV per atom

---

Record 6
# SrZn2Cd | the Alexandria database | meta-GGA SCAN | PBEsol geometry
data_SrZn2Cd
_cell_length_a 4.5258
_cell_length_b 4.5258
_cell_length_c 16.1203
_cell_angle_alpha 90.00
_cell_angle_beta 90.00
_cell_angle_gamma 120.00
_space_group_name_H-M_alt 'R -3 m'
_space_group_IT_number 166
_space_group_name_Hall '-R 3 2"'
loop_
_atom_site_label
_atom_site_type_symbol
_atom_site_fract_x
_atom_site_fract_y
_atom_site_fract_z
Sr1 Sr 0.0000 0.0000 0.0000
Zn1 Zn 0.0000 0.0000 0.2025
Cd1 Cd 0.0000 0.0000 0.5000
# - Formation energy: -240 meV/atom

---

Record 7
# BaRhO2F | the Alexandria database | meta-GGA SCAN | PBEsol geometry
data_BaRhO2F
_cell_length_a 3.9730
_cell_length_b 3.9730
_cell_length_c 4.4040
_cell_angle_alpha 90.00
_cell_angle_beta 90.00
_cell_angle_gamma 90.00
_space_group_name_H-M_alt 'P 4/m m m'
_space_group_IT_number 123
_space_group_name_Hall '-P 4 2'
loop_
_atom_site_label
_atom_site_type_symbol
_atom_site_fract_x
_atom_site_fract_y
_atom_site_fract_z
Ba1 Ba 0.0000 0.0000 0.0000
Rh1 Rh 0.5000 0.5000 0.5000
O1 O 0.0000 0.5000 0.5000
F1 F 0.5000 0.5000 0.0000
# - Energy relative to the elements, uncorrected: -2037.9 meV per atom

---

Record 8
# RePIr2 | the Alexandria database | meta-GGA SCAN | PBEsol geometry
data_RePIr2
_cell_length_a 9.1542
_cell_length_b 2.7371
_cell_length_c 4.7503
_cell_angle_alpha 90.00
_cell_angle_beta 111.67
_cell_angle_gamma 90.00
_space_group_name_H-M_alt 'C 1 m 1'
_space_group_IT_number 8
_space_group_name_Hall 'C -2y'
loop_
_atom_site_label
_atom_site_type_symbol
_atom_site_fract_x
_atom_site_fract_y
_atom_site_fract_z
Re1 Re 0.0000 0.0000 0.0000
P1 P 0.2051 0.5000 0.3689
Ir1 Ir 0.2329 0.0000 0.7971
Ir2 Ir 0.4331 0.0000 0.4649
# - Formation energy: -57 meV/atom

---

| no. | DOS(E_F) (states/eV/atom) |
| --- | --- |
| 1 | 0.59 |
| 2 | 0.85 |
| 3 | 0.66 |
| 4 | 0.77 |
| 5 | 0.32 |
| 6 | 0.40 |
| 7 | 0.45 |
| 8 | 0.41 |